Be2PdF | PBE-GGA | relaxed

Cell: 4.821 4.821 4.821 Å, 112.18 112.18 104.17°
Atoms (fractional coordinates):
Be 0.051 0.625 0.926
Be 0.375 0.301 0.426
Be 0.699 0.125 0.074
Be 0.875 0.949 0.574
Pd 0.250 0.750 0.500
Pd 0.500 0.500 0.000
F 0.000 0.000 0.000
F 0.750 0.250 0.500

Calculated values
Density of states at the Fermi level ... 0.963 states/eV/f.u.
Offset from the most stable computed form ... 0 meV per atom
Energy relative to the elements, uncorrected ... -3.07 eV/f.u.
Electronic total energy ... -4.396 eV per atom